Entry 1:
LaPr2TmSe4 | PBE-GGA | optimized geometry

Geometry as CIF:
```
data_LaPr2TmSe4
_space_group_name_H-M_alt 'P 1 2/m 1'
_space_group_IT_number 10
_cell_length_a 7.339
_cell_length_b 4.153
_cell_length_c 7.359
_cell_angle_alpha 90.00
_cell_angle_beta 108.63
_cell_angle_gamma 90.00
loop_
_space_group_symop_operation_xyz
'x,y,z'
'-x,-y,-z'
'-x,y,-z'
'x,-y,z'
loop_
_atom_site_label
_atom_site_fract_x
_atom_site_fract_y
_atom_site_fract_z
La1 0.000 0.000 0.000
Pr1 0.000 0.500 0.500
Pr2 0.500 0.000 0.500
Tm1 0.500 0.500 0.000
Se1 0.260 0.500 0.243
Se2 0.267 0.000 0.766
```

## Properties
Total moment   0.000 μB/atom
Density of states at the Fermi level   0.57 states/eV/atom
Formation energy from raw total energies   -14.65 eV/f.u.

Entry 2:
Ac2Sn2Ru | PBE-GGA | optimized geometry

Geometry as CIF:
```
data_Ac2Sn2Ru
_space_group_name_H-M_alt 'I 41/a m d'
_space_group_IT_number 141
_cell_length_a 4.893
_cell_length_b 4.893
_cell_length_c 25.127
_cell_angle_alpha 90.00
_cell_angle_beta 90.00
_cell_angle_gamma 90.00
loop_
_space_group_symop_operation_xyz
'x,y,z'
'-x,-y,-z'
'-y+1/4,x+3/4,z+1/4'
'y+1/4,-x+3/4,-z+1/4'
'-x+1/2,-y,z+1/2'
'x+1/2,y,-z+1/2'
'y+1/4,-x+1/4,z+3/4'
'-y+1/4,x+1/4,-z+3/4'
'x,-y,-z'
'-x,y,z'
'-y+1/4,-x+1/4,-z+3/4'
'y+1/4,x+1/4,z+3/4'
'-x+1/2,y,-z+1/2'
'x+1/2,-y,z+1/2'
'y+1/4,x+3/4,-z+1/4'
'-y+1/4,-x+3/4,z+1/4'
'x+1/2,y+1/2,z+1/2'
'-x+1/2,-y+1/2,-z+1/2'
'-y+3/4,x+1/4,z+3/4'
'y+3/4,-x+1/4,-z+3/4'
'-x,-y+1/2,z'
'x,y+1/2,-z'
'y+3/4,-x+3/4,z+1/4'
'-y+3/4,x+3/4,-z+1/4'
'x+1/2,-y+1/2,-z+1/2'
'-x+1/2,y+1/2,z+1/2'
'-y+3/4,-x+3/4,-z+1/4'
'y+3/4,x+3/4,z+1/4'
'-x,y+1/2,-z'
'x,-y+1/2,z'
'y+3/4,x+1/4,-z+3/4'
'-y+3/4,-x+1/4,z+3/4'
loop_
_atom_site_label
_atom_site_fract_x
_atom_site_fract_y
_atom_site_fract_z
Ac1 0.000 0.250 0.059
Sn1 0.000 0.250 0.196
Ru1 0.000 0.250 0.375
```

## Properties
Calculated formation energy   -0.354 eV/atom
Total moment   0.000 μB/atom
Density of states at the Fermi level   0.77 states/eV/atom

Entry 3:
GaCo6W | PBE-GGA | optimized geometry

Geometry as CIF:
```
data_GaCo6W
_space_group_name_H-M_alt 'C m m m'
_space_group_IT_number 65
_space_group_name_Hall '-C 2 2'
_cell_length_a 7.169
_cell_length_b 10.162
_cell_length_c 10.161
_cell_angle_alpha 90.00
_cell_angle_beta 90.00
_cell_angle_gamma 90.00
loop_
_atom_site_label
_atom_site_fract_x
_atom_site_fract_y
_atom_site_fract_z
Ga1 0.000 0.000 0.249
Ga2 0.000 0.254 0.500
Co1 0.000 0.000 0.000
Co2 0.000 0.000 0.500
Co3 0.000 0.251 0.249
Co4 0.000 0.500 0.000
Co5 0.000 0.500 0.500
Co6 0.248 0.125 0.375
Co7 0.250 0.125 0.124
W1 0.000 0.255 0.000
W2 0.000 0.500 0.252
```

## Properties
Calculated formation energy   -0.061 eV/atom
Total moment   0.569 μB/atom
Density of states at the Fermi level   1.34 states/eV/atom

Entry 4:
Ac8GaSi3Br4 | PBE-GGA | optimized geometry

Geometry as CIF:
```
data_Ac8GaSi3Br4
_space_group_name_H-M_alt 'R -3 m'
_space_group_IT_number 166
_space_group_name_Hall '-R 3 2"'
_cell_length_a 9.2224
_cell_length_b 9.2224
_cell_length_c 22.6774
_cell_angle_alpha 90.00
_cell_angle_beta 90.00
_cell_angle_gamma 120.00
loop_
_atom_site_label
_atom_site_fract_x
_atom_site_fract_y
_atom_site_fract_z
Ac1 0.0000 0.0000 0.2386
Ac2 0.0008 0.5004 0.7609
Ga1 0.0000 0.0000 0.5000
Si1 0.0000 0.5000 0.5000
Br1 0.0000 0.0000 0.0000
Br2 0.0000 0.5000 0.0000
```

## Properties
Total moment   0.000 μB/atom
Density of states at the Fermi level   0.40 states/eV/atom
Formation energy from raw total energies   -16.15 eV/f.u.

Entry 5:
Co2ReIrOs | PBE-GGA | optimized geometry

Geometry as CIF:
```
data_Co2ReIrOs
_space_group_name_H-M_alt 'P 4/m m m'
_space_group_IT_number 123
_space_group_name_Hall '-P 4 2'
_cell_length_a 4.360
_cell_length_b 4.360
_cell_length_c 4.721
_cell_angle_alpha 90.00
_cell_angle_beta 90.00
_cell_angle_gamma 90.00
loop_
_atom_site_label
_atom_site_fract_x
_atom_site_fract_y
_atom_site_fract_z
Co1 0.000 0.500 0.000
Re1 0.000 0.000 0.500
Ir1 0.500 0.500 0.500
Os1 0.500 0.500 0.000
```

## Properties
Calculated formation energy   2.076 eV/atom
Total moment   0.877 μB/atom
Density of states at the Fermi level   1.69 states/eV/atom

Entry 6:
CsHF | PBE-GGA | optimized geometry

Geometry as CIF:
```
data_CsHF
_space_group_name_H-M_alt 'C 1 2/m 1'
_space_group_IT_number 12
_cell_length_a 5.947
_cell_length_b 5.948
_cell_length_c 8.812
_cell_angle_alpha 90.00
_cell_angle_beta 108.60
_cell_angle_gamma 90.00
loop_
_space_group_symop_operation_xyz
'x,y,z'
'-x,-y,-z'
'-x,y,-z'
'x,-y,z'
'x+1/2,y+1/2,z'
'-x+1/2,-y+1/2,-z'
'-x+1/2,y+1/2,-z'
'x+1/2,-y+1/2,z'
loop_
_atom_site_label
_atom_site_fract_x
_atom_site_fract_y
_atom_site_fract_z
Cs1 0.160 0.000 0.311
H1 0.024 0.500 0.045
F1 0.173 0.500 0.337
```

## Properties
Total moment   0.009 μB/atom
Density of states at the Fermi level   0.00 states/eV/atom
Energy above the most stable polymorph in this dataset   0 meV per atom

Entry 7:
CdSnAs2 | PBE-GGA | optimized geometry

Geometry as CIF:
```
data_CdSnAs2
_space_group_name_H-M_alt 'R -3 m'
_space_group_IT_number 166
_space_group_name_Hall '-R 3 2"'
_cell_length_a 3.9876
_cell_length_b 3.9876
_cell_length_c 20.4834
_cell_angle_alpha 90.00
_cell_angle_beta 90.00
_cell_angle_gamma 120.00
loop_
_atom_site_label
_atom_site_fract_x
_atom_site_fract_y
_atom_site_fract_z
Cd1 0.0000 0.0000 0.0000
Sn1 0.0000 0.0000 0.5000
As1 0.0000 0.0000 0.2493
```

## Properties
Calculated formation energy   0.002 eV/atom
Total moment   0.000 μB/atom
Density of states at the Fermi level   0.75 states/eV/atom
Energy above the most stable polymorph in this dataset   140 meV per atom

Entry 8:
Ac6TlRu | PBE-GGA | optimized geometry

Geometry as CIF:
```
data_Ac6TlRu
_space_group_name_H-M_alt 'P -1'
_space_group_IT_number 2
_cell_length_a 7.520
_cell_length_b 7.579
_cell_length_c 8.229
_cell_angle_alpha 90.35
_cell_angle_beta 116.63
_cell_angle_gamma 119.73
loop_
_space_group_symop_operation_xyz
'x,y,z'
'-x,-y,-z'
loop_
_atom_site_label
_atom_site_fract_x
_atom_site_fract_y
_atom_site_fract_z
Ac1 0.049 0.090 0.259
Ac2 0.299 0.709 0.257
Ac3 0.327 0.539 0.743
Tl1 0.500 0.000 0.000
Ru1 0.500 0.500 0.500
```

## Properties
Calculated formation energy   -0.025 eV/atom
Total moment   0.000 μB/atom
Density of states at the Fermi level   1.50 states/eV/atom

Entry 9:
Sc3TlTe | PBE-GGA | optimized geometry

Geometry as CIF:
```
data_Sc3TlTe
_space_group_name_H-M_alt 'P m -3 m'
_space_group_IT_number 221
_space_group_name_Hall '-P 4 2 3'
_cell_length_a 5.358
_cell_length_b 5.358
_cell_length_c 5.358
_cell_angle_alpha 90.00
_cell_angle_beta 90.00
_cell_angle_gamma 90.00
loop_
_atom_site_label
_atom_site_fract_x
_atom_site_fract_y
_atom_site_fract_z
Sc1 0.000 0.000 0.500
Tl1 0.000 0.000 0.000
Te1 0.500 0.500 0.500
```

## Properties
Total moment   0.000 μB/atom
Density of states at the Fermi level   1.74 states/eV/atom
Formation energy from raw total energies   0.96 eV/f.u.
Energy above the most stable polymorph in this dataset   653 meV per atom

Entry 10:
As2OsBr | PBE-GGA | optimized geometry

Geometry as CIF:
```
data_As2OsBr
_space_group_name_H-M_alt 'P 4/m m m'
_space_group_IT_number 123
_space_group_name_Hall '-P 4 2'
_cell_length_a 4.845
_cell_length_b 4.845
_cell_length_c 3.035
_cell_angle_alpha 90.00
_cell_angle_beta 90.00
_cell_angle_gamma 90.00
loop_
_atom_site_label
_atom_site_fract_x
_atom_site_fract_y
_atom_site_fract_z
As1 0.000 0.500 0.000
Os1 0.000 0.000 0.500
Br1 0.500 0.500 0.500
```

## Properties
Total moment   0.000 μB/atom
Density of states at the Fermi level   1.13 states/eV/atom
Formation energy from raw total energies   4.03 eV/f.u.
Energy above the most stable polymorph in this dataset   937 meV per atom

Entry 11:
LiTb3Pr3S8 | PBE-GGA | optimized geometry

Geometry as CIF:
```
data_LiTb3Pr3S8
_space_group_name_H-M_alt 'R -3 m'
_space_group_IT_number 166
_space_group_name_Hall '-R 3 2"'
_cell_length_a 7.9427
_cell_length_b 7.9427
_cell_length_c 19.6836
_cell_angle_alpha 90.00
_cell_angle_beta 90.00
_cell_angle_gamma 120.00
loop_
_atom_site_label
_atom_site_fract_x
_atom_site_fract_y
_atom_site_fract_z
Li1 0.0000 0.0000 0.0000
Tb1 0.0000 0.5000 0.0000
Pr1 0.0000 0.5000 0.5000
S1 0.0000 0.0000 0.2546
S2 0.0027 0.5014 0.7447
```

## Properties
Total moment   0.000 μB/atom
Density of states at the Fermi level   0.31 states/eV/atom
Formation energy from raw total energies   -29.75 eV/f.u.

Entry 12:
SrLaTc2 | PBE-GGA | optimized geometry

Geometry as CIF:
```
data_SrLaTc2
_space_group_name_H-M_alt 'I m m m'
_space_group_IT_number 71
_space_group_name_Hall '-I 2 2'
_cell_length_a 3.473
_cell_length_b 5.339
_cell_length_c 9.364
_cell_angle_alpha 90.00
_cell_angle_beta 90.00
_cell_angle_gamma 90.00
loop_
_atom_site_label
_atom_site_fract_x
_atom_site_fract_y
_atom_site_fract_z
Sr1 0.000 0.000 0.000
La1 0.000 0.000 0.500
Tc1 0.000 0.500 0.231
```

## Properties
Calculated formation energy   0.857 eV/atom
Total moment   0.000 μB/atom
Density of states at the Fermi level   1.32 states/eV/atom
Energy above the most stable polymorph in this dataset   554 meV per atom

Entry 13:
LiMnCr2 | PBE-GGA | optimized geometry

Geometry as CIF:
```
data_LiMnCr2
_space_group_name_H-M_alt 'P 1 m 1'
_space_group_IT_number 6
_cell_length_a 2.348
_cell_length_b 4.038
_cell_length_c 4.810
_cell_angle_alpha 90.00
_cell_angle_beta 98.37
_cell_angle_gamma 90.00
loop_
_space_group_symop_operation_xyz
'x,y,z'
'x,-y,z'
loop_
_atom_site_label
_atom_site_fract_x
_atom_site_fract_y
_atom_site_fract_z
Li1 0.000 0.000 0.000
Mn1 0.751 0.500 0.251
Cr1 0.257 0.500 0.749
Cr2 0.519 0.000 0.493
```

## Properties
Calculated formation energy   0.314 eV/atom
Total moment   0.000 μB/atom
Density of states at the Fermi level   0.75 states/eV/atom
Energy above the most stable polymorph in this dataset   69 meV per atom

Entry 14:
HoCdBi | PBE-GGA | optimized geometry

Geometry as CIF:
```
data_HoCdBi
_space_group_name_H-M_alt 'P 3 m 1'
_space_group_IT_number 156
_cell_length_a 4.7768
_cell_length_b 4.7768
_cell_length_c 4.3165
_cell_angle_alpha 90.00
_cell_angle_beta 90.00
_cell_angle_gamma 120.00
loop_
_space_group_symop_operation_xyz
'x,y,z'
'-y,x-y,z'
'-x+y,-x,z'
'-y,-x,z'
'-x+y,y,z'
'x,x-y,z'
loop_
_atom_site_label
_atom_site_fract_x
_atom_site_fract_y
_atom_site_fract_z
Ho1 0.0000 0.0000 0.0000
Cd1 0.6667 0.3333 0.3066
Bi1 0.3333 0.6667 0.5992
```

## Properties
Calculated formation energy   -0.296 eV/atom
Total moment   0.000 μB/atom
Density of states at the Fermi level   0.14 states/eV/atom
Energy above the most stable polymorph in this dataset   0 meV per atom

Entry 15:
Y2NiAu | PBE-GGA | optimized geometry

Geometry as CIF:
```
data_Y2NiAu
_space_group_name_H-M_alt 'P 1 21/m 1'
_space_group_IT_number 11
_cell_length_a 5.623
_cell_length_b 4.504
_cell_length_c 7.549
_cell_angle_alpha 90.00
_cell_angle_beta 110.28
_cell_angle_gamma 90.00
loop_
_space_group_symop_operation_xyz
'x,y,z'
'-x,-y,-z'
'-x,y+1/2,-z'
'x,-y+1/2,z'
loop_
_atom_site_label
_atom_site_fract_x
_atom_site_fract_y
_atom_site_fract_z
Y1 0.211 0.250 0.433
Y2 0.230 0.250 0.927
Ni1 0.342 0.750 0.709
Au1 0.338 0.750 0.213
```

## Properties
Calculated formation energy   -0.641 eV/atom
Total moment   0.000 μB/atom
Density of states at the Fermi level   0.58 states/eV/atom

Entry 16:
CaBe2Cu | PBE-GGA | optimized geometry

Geometry as CIF:
```
data_CaBe2Cu
_space_group_name_H-M_alt 'C 1 m 1'
_space_group_IT_number 8
_cell_length_a 6.707
_cell_length_b 3.871
_cell_length_c 5.548
_cell_angle_alpha 90.00
_cell_angle_beta 114.34
_cell_angle_gamma 90.00
loop_
_space_group_symop_operation_xyz
'x,y,z'
'x,-y,z'
'x+1/2,y+1/2,z'
'x+1/2,-y+1/2,z'
loop_
_atom_site_label
_atom_site_fract_x
_atom_site_fract_y
_atom_site_fract_z
Ca1 0.000 0.000 0.000
Be1 0.316 0.500 0.451
Be2 0.499 0.000 0.500
Cu1 0.185 0.000 0.557
```

## Properties
Calculated formation energy   -0.015 eV/atom
Total moment   0.000 μB/atom
Density of states at the Fermi level   0.54 states/eV/atom
Energy above the most stable polymorph in this dataset   9 meV per atom

Entry 17:
Li3Pu3SiS8 | PBE-GGA | optimized geometry

Geometry as CIF:
```
data_Li3Pu3SiS8
_space_group_name_H-M_alt 'R -3 m'
_space_group_IT_number 166
_space_group_name_Hall '-R 3 2"'
_cell_length_a 7.8072
_cell_length_b 7.8072
_cell_length_c 18.0284
_cell_angle_alpha 90.00
_cell_angle_beta 90.00
_cell_angle_gamma 120.00
loop_
_atom_site_label
_atom_site_fract_x
_atom_site_fract_y
_atom_site_fract_z
Li1 0.0000 0.5000 0.0000
Pu1 0.0000 0.5000 0.5000
Si1 0.0000 0.0000 0.5000
S1 0.0000 0.0000 0.2504
S2 0.0434 0.5217 0.2419
```

## Properties
Total moment   0.995 μB/atom
Density of states at the Fermi level   1.74 states/eV/atom
Formation energy from raw total energies   -19.49 eV/f.u.